DFT (GGA-PBE) results for a relaxed K2NaLiAg crystal.

Summary:
**Uncorrected energy**: -7.7 eV per formula unit
**DOS at the Fermi energy**: 3.848 states/eV/cell
**Space group**: P4/mmm (123)
**Magnetic moment**: 0.00 Bohr magnetons per cell

```
K2NaLiAg
1.0
-2.4382 -4.2926 4.3989
-0.7965 -4.4718 -4.8052
4.8061 -1.8152 0.8926
Na K Ag Li
1 2 1 1
direct
0.5000 0.5000 0.5000
0.0000 0.5000 0.0000
0.5000 0.0000 0.0000
0.0000 0.0000 0.0000
0.0000 0.0000 0.5000
```